No. 1
First-principles (PBE-GGA) data for a relaxed Ni6PdPt12 crystal, as listed in Alexandria.

Its formation energy from the elements is -1.15 eV per formula unit. The calculation puts the density of states at the Fermi level at 1.763 states/eV per atom. The mass density comes out at 17.0 g/cm³. As for the volume: 14.36 Å³/atom.

The structure belongs to space group R-3 (No. 148, hexagonal axes); the cell edges are 11.8885, 11.8885 and 6.6869 Å and the angles 90.00°, 90.00° and 120.00°. The distinct sites, in fractional coordinates, are Ni at (0.0337, 0.7526, 0.3308), Pd at (0.0000, 0.0000, 0.0000), Pt at (0.0126, 0.8704, 0.6626) and Pt at (0.0653, 0.5046, 0.6712).



No. 2
First-principles (PBE-GGA) data for a relaxed Ni6Pd2Pt crystal, as listed in Alexandria.

Its energy above the most stable polymorph in this dataset is 0.000 eV/f.u. Its formation energy from the elements is 0.06 eV per formula unit. The calculation puts the density of states at the Fermi level at 1.637 states/eV per atom. The mass density comes out at 11.2 g/cm³. As for the volume: 12.55 Å³/atom.

The structure belongs to space group P4_2/mnm (No. 136); the cell edges are 7.760, 7.760 and 3.751 Å and the angles 90.00°, 90.00° and 90.00°. The distinct sites, in fractional coordinates, are Ni at (0.008, 0.342, 0.000), Ni at (0.164, 0.836, 0.500), Pd at (0.177, 0.177, 0.500) and Pt at (0.000, 0.000, 0.000).



No. 3
First-principles (PBE-GGA) data for a relaxed NiPd4Pt crystal, as listed in Alexandria.

Its formation energy from the elements is 0.01 eV per formula unit. The calculation puts the density of states at the Fermi level at 1.931 states/eV per atom. The mass density comes out at 12.7 g/cm³. As for the volume: 14.85 Å³/atom.

The structure belongs to space group P2/m (No. 10); the cell edges are 4.772, 2.770 and 6.741 Å and the angles 90.00°, 90.13° and 90.00°. The distinct sites, in fractional coordinates, are Ni at (0.000, 0.000, 0.000), Pd at (0.163, 0.500, 0.325), Pd at (0.331, 0.000, 0.669) and Pt at (0.500, 0.500, 0.000).